VSb2F (PBE+U, relaxed); magnetization = 5.6 Bohr magnetons per cell; crystal system = tetragonal; offset from the most stable computed form = 90 meV per atom; DOS(E_F) = 4.1 states/eV/cell
1.0
4.1420 0.0000 0.0000
0.0000 4.1420 0.0000
2.0710 2.0710 10.8129
V Sb F
2 4 2
direct
0.0000 0.0000 0.0000
0.7500 0.2500 0.5000
0.3750 0.3659 0.7500
0.1159 0.6250 0.2500
0.6341 0.1250 0.2500
0.8750 0.8841 0.7500
0.2500 0.7500 0.5000
0.5000 0.5000 0.0000